#i
La2BeHgIr: optimized geometry, PBE-GGA.

Lattice parameters (Å, degrees): 5.7907 4.2605 5.7907 90.00 90.00 90.00
With the nearest neighbours (Å) after each atom.
Atoms (fractional coordinates):
La: 0.0000 0.0000 0.5000  2 Hg 2.90
La: 0.5000 0.0000 0.0000  2 Hg 2.90
Ir: 0.5000 0.5000 0.5000  8 La 3.59
Hg: 0.0000 0.0000 0.0000  2 Be 2.13
Be: 0.0000 0.5000 0.0000  2 Hg 2.13

Output
magnetization = 0.00 μB per formula unit
SG = P4/mmm, No. 123
crystal system = tetragonal

---

#ii
La2BeHgIr: optimized geometry, PBE-GGA.

Lattice parameters (Å, degrees): 5.5768 5.5768 4.4192 90.00 90.00 90.00
With the nearest neighbours (Å) after each atom.
Atoms (fractional coordinates):
La: 0.0000 0.5000 0.0000  2 Ir 2.79
La: 0.5000 0.0000 0.0000  2 Ir 2.79
Ir: 0.0000 0.0000 0.0000  2 Be 2.21
Hg: 0.5000 0.5000 0.5000  8 La 3.56, 4 Be 3.94
Be: 0.0000 0.0000 0.5000  2 Ir 2.21

Output
magnetization = 0.00 μB per formula unit
SG = P4/mmm, No. 123
crystal system = tetragonal

---

Most stable of them? #ii.

---

#i
KBe3Hg: optimized geometry, PBE-GGA.

Lattice parameters (Å, degrees): 4.6458 4.6458 4.6458 90.00 90.00 90.00
With the nearest neighbours (Å) after each atom.
Atoms (fractional coordinates):
Hg: 0.0000 0.0000 0.0000  6 Be 2.32
Be: 0.0000 0.0000 0.5000  2 Hg 2.32
Be: 0.0000 0.5000 0.0000  2 Hg 2.32
Be: 0.5000 0.0000 0.0000  2 Hg 2.32
K: 0.5000 0.5000 0.5000  12 Be 3.29

Output
magnetization = 0.00 μB per formula unit
SG = Pm-3m, No. 221
crystal system = cubic

---

#ii
KBe3Hg: optimized geometry, PBE-GGA.

Lattice parameters (Å, degrees): 6.2347 6.2347 6.2347 90.00 90.00 90.00
With the nearest neighbours (Å) after each atom.
Atoms (fractional coordinates):
K: 0.0000 0.0000 0.0000  6 Be 3.12
Be: 0.5000 0.0000 0.0000  2 K 3.12
Be: 0.0000 0.5000 0.0000  2 K 3.12
Be: 0.0000 0.0000 0.5000  2 K 3.12
Hg: 0.5000 0.5000 0.5000  12 Be 4.41

Output
magnetization = 0.00 μB per formula unit
SG = Pm-3m, No. 221
crystal system = cubic

---

Most stable of them? #i.

---

#i
KBeHg3: optimized geometry, PBE-GGA.

Lattice parameters (Å, degrees): 6.6769 6.6769 6.6769 90.00 90.00 90.00
With the nearest neighbours (Å) after each atom.
Atoms (fractional coordinates):
Hg: 0.5000 0.0000 0.0000  2 K 3.34
Hg: 0.0000 0.0000 0.5000  2 K 3.34
Hg: 0.0000 0.5000 0.0000  2 K 3.34
Be: 0.5000 0.5000 0.5000  12 Hg 4.72
K: 0.0000 0.0000 0.0000  6 Hg 3.34

Output
magnetization = 0.00 μB per formula unit
SG = Pm-3m, No. 221
crystal system = cubic

---

#ii
KBeHg3: optimized geometry, PBE-GGA.

Lattice parameters (Å, degrees): 5.0311 5.0311 5.0311 90.00 90.00 90.00
With the nearest neighbours (Å) after each atom.
Atoms (fractional coordinates):
Be: 0.0000 0.0000 0.0000  6 Hg 2.52
Hg: 0.5000 0.0000 0.0000  2 Be 2.52
Hg: 0.0000 0.5000 0.0000  2 Be 2.52
Hg: 0.0000 0.0000 0.5000  2 Be 2.52
K: 0.5000 0.5000 0.5000  12 Hg 3.56

Output
magnetization = 0.00 μB per formula unit
SG = Pm-3m, No. 221
crystal system = cubic

---

Most stable of them? #ii.

---

#i
KBeHg: optimized geometry, PBE-GGA.

Lattice parameters (Å, degrees): 5.1300 5.1300 5.1300 60.00 60.00 60.00
With the nearest neighbours (Å) after each atom.
Atoms (fractional coordinates):
Be: 0.5000 0.5000 0.5000  4 Hg 3.14
K: 0.0000 0.0000 0.0000  4 Hg 3.14
Hg: 0.2500 0.2500 0.2500  4 K 3.14, 4 Be 3.14

Output
magnetization = 0.00 μB per formula unit
SG = F-43m, No. 216
crystal system = cubic

---

#ii
KBeHg: optimized geometry, PBE-GGA.

Lattice parameters (Å, degrees): 4.1980 4.1980 5.5808 90.00 90.00 120.00
With the nearest neighbours (Å) after each atom.
Atoms (fractional coordinates):
Hg: 0.3333 0.6667 0.1664  3 Be 2.42
K: 0.6667 0.3333 0.6667  6 Be 3.69-3.70, 6 Hg 3.69-3.70
Be: 0.0000 0.0000 0.1669  3 Hg 2.42

Output
magnetization = 0.00 μB per formula unit
SG = P-6m2, No. 187
crystal system = hexagonal

---

#iii
KBeHg: optimized geometry, PBE-GGA.

Lattice parameters (Å, degrees): 4.9695 4.9695 4.9695 60.00 60.00 60.00
With the nearest neighbours (Å) after each atom.
Atoms (fractional coordinates):
K: 0.5000 0.5000 0.5000  4 Be 3.04
Hg: 0.0000 0.0000 0.0000  4 Be 3.04
Be: 0.7500 0.7500 0.7500  4 Hg 3.04, 4 K 3.04

Output
magnetization = 0.00 μB per formula unit
SG = F-43m, No. 216
crystal system = cubic

---

#iv
KBeHg: optimized geometry, PBE-GGA.

Lattice parameters (Å, degrees): 6.6552 6.6559 3.5336 74.59 74.62 30.79
With the nearest neighbours (Å) after each atom.
Atoms (fractional coordinates):
Be: 0.9313 0.9313 0.0687  4 Hg 2.53
K: 0.6696 0.6696 0.3304  1 Be 3.23, 1 Hg 3.34, 4 K 3.53
Hg: 0.3991 0.3991 0.6009  4 Be 2.53

Output
magnetization = 0.00 μB per formula unit
SG = I4mm, No. 107
crystal system = tetragonal

---

Most stable of them? #ii.

---

#i
KBeZnHg2: optimized geometry, PBE-GGA.

Lattice parameters (Å, degrees): 6.8326 6.4007 6.8326 90.00 90.00 90.00
With the nearest neighbours (Å) after each atom.
Atoms (fractional coordinates):
Be: 0.0000 0.5000 0.0000  2 K 3.20
K: 0.0000 0.0000 0.0000  2 Be 3.20, 4 Hg 3.42
Hg: 0.5000 0.0000 0.0000  2 K 3.42
Hg: 0.0000 0.0000 0.5000  2 K 3.42
Zn: 0.5000 0.5000 0.5000  8 Hg 4.68, 4 Be 4.83

Output
magnetization = 0.00 μB per formula unit
SG = P4/mmm, No. 123
crystal system = tetragonal

---

#ii
KBeZnHg2: optimized geometry, PBE-GGA.

Lattice parameters (Å, degrees): 5.0179 5.0179 4.6947 90.00 90.00 90.00
With the nearest neighbours (Å) after each atom.
Atoms (fractional coordinates):
Hg: 0.5000 0.0000 0.0000  2 Be 2.51
Hg: 0.0000 0.5000 0.0000  2 Be 2.51
K: 0.5000 0.5000 0.5000  8 Hg 3.44, 4 Zn 3.55
Be: 0.0000 0.0000 0.0000  2 Zn 2.35, 4 Hg 2.51
Zn: 0.0000 0.0000 0.5000  2 Be 2.35

Output
magnetization = 0.00 μB per formula unit
SG = P4/mmm, No. 123
crystal system = tetragonal

---

Most stable of them? #ii.

---

#i
Li2BeHg: optimized geometry, PBE-GGA.

Lattice parameters (Å, degrees): 4.3894 2.8882 4.9085 90.03 90.00 90.00
With the nearest neighbours (Å) after each atom.
Atoms (fractional coordinates):
Be: 0.0000 0.6246 0.4828  2 Hg 2.59, 7 Li 2.79-2.90, 2 Be 2.89
Hg: 0.5000 0.6252 0.7625  2 Be 2.59, 6 Li 2.76-2.82, 2 Hg 2.89
Li: 0.5000 0.1250 0.2845  4 Li 2.68-2.89, 4 Hg 2.76-2.94, 4 Be 2.80
Li: 0.0000 0.1252 0.9702  4 Li 2.68-2.89, 4 Be 2.79-2.90, 4 Hg 2.82

Output
magnetization = 0.00 μB per formula unit
SG = Pmm2, No. 25
crystal system = orthorhombic

---

#ii
Li2BeHg: optimized geometry, PBE-GGA.

Lattice parameters (Å, degrees): 8.3130 8.3130 8.3130 22.71 22.71 22.71
With the nearest neighbours (Å) after each atom.
Atoms (fractional coordinates):
Be: 0.4951 0.4951 0.4951  3 Hg 2.50, 3 Li 2.62
Hg: 0.7613 0.7613 0.7613  3 Be 2.50
Li: 0.0073 0.0073 0.0073  3 Hg 2.84, 3 Li 3.16
Li: 0.2363 0.2363 0.2363  3 Be 2.62

Output
magnetization = 0.00 μB per formula unit
SG = R3m, No. 160
crystal system = trigonal

---

Most stable of them? #i.